[1]
# Nd2ErGa2

A relaxed structure of Nd2ErGa2 (GGA-PBE, the Alexandria database).

Cell lengths 4.6874, 6.4741, 9.8479 Å; angles 82.44, 76.23, 68.78 degrees
Closest atoms and distances in Å follow each position.
Fractional positions:
1 Nd 0.6893 0.7228 0.8986  4 Ga 3.07-3.33
2 Nd 0.5232 0.6399 0.3137  6 Ga 3.18-3.43, 3 Er 3.47-3.54
3 Nd 0.3107 0.2772 0.1014  4 Ga 3.07-3.33
4 Nd 0.4768 0.3601 0.6863  6 Ga 3.18-3.43, 3 Er 3.47-3.54
5 Ga 0.9600 0.1712 0.9089  1 Ga 2.64
6 Ga 0.1254 0.3227 0.4264  1 Ga 2.62
7 Ga 0.0400 0.8288 0.0911  1 Ga 2.64
8 Ga 0.8746 0.6773 0.5736  1 Ga 2.62
9 Er 0.2067 0.9455 0.6411  4 Ga 2.94-2.99
10 Er 0.7933 0.0545 0.3589  4 Ga 2.94-2.99

Summary:
SG = C2/m (12)
Density of states at the Fermi level = 8.14 states/eV per cell
Crystal system = monoclinic
Energy of formation = -0.47 eV per atom
Energy above the most stable polymorph in this dataset = 0.016 eV/atom


[2]
# NdErGa2

A relaxed structure of NdErGa2 (GGA-PBE, the Alexandria database).

Cell lengths 4.2240, 8.4543, 11.3059 Å; angles 90.00, 90.00, 90.00 degrees
Closest atoms and distances in Å follow each position.
Fractional positions:
1 Er 0.2500 0.9880 0.3826  5 Ga 2.84-3.01
2 Er 0.7500 0.5120 0.8826  5 Ga 2.84-3.01
3 Er 0.7500 0.0120 0.6174  5 Ga 2.84-3.01
4 Er 0.2500 0.4880 0.1174  5 Ga 2.84-3.01
5 Nd 0.7500 0.3603 0.3610  6 Ga 3.18-3.40
6 Nd 0.2500 0.6397 0.6390  6 Ga 3.18-3.40
7 Nd 0.7500 0.8603 0.1390  6 Ga 3.18-3.40
8 Nd 0.2500 0.1397 0.8610  6 Ga 3.18-3.40
9 Ga 0.2500 0.2523 0.5576  2 Ga 2.57
10 Ga 0.7500 0.7477 0.4424  2 Ga 2.57
11 Ga 0.7500 0.3603 0.6589  2 Ga 2.57, 1 Er 2.84
12 Ga 0.7500 0.8603 0.8411  2 Ga 2.57, 1 Er 2.84
13 Ga 0.2500 0.7523 0.9424  2 Ga 2.57
14 Ga 0.2500 0.1397 0.1589  2 Ga 2.57, 1 Er 2.84
15 Ga 0.2500 0.6397 0.3411  2 Ga 2.57, 1 Er 2.84
16 Ga 0.7500 0.2477 0.0576  2 Ga 2.57

Summary:
SG = Pnma (62)
Density of states at the Fermi level = 15.21 states/eV per cell
Crystal system = orthorhombic
Energy of formation = -0.51 eV per atom
Energy above the most stable polymorph in this dataset = 0.088 eV/atom


[3]
# NdEr4Ga4

A relaxed structure of NdEr4Ga4 (GGA-PBE, the Alexandria database).

Cell lengths 5.8566, 9.1733, 9.1733 Å; angles 90.00, 90.00, 90.00 degrees
Closest atoms and distances in Å follow each position.
Fractional positions:
1 Er 0.3805 0.6718 0.0955  5 Ga 2.91-3.07
2 Er 0.8805 0.5955 0.8282  5 Ga 2.91-3.07
3 Er 0.1195 0.1718 0.5955  5 Ga 2.91-3.07
4 Er 0.6195 0.0955 0.3282  5 Ga 2.91-3.07
5 Er 0.8805 0.4045 0.1718  5 Ga 2.91-3.07
6 Er 0.1195 0.8282 0.4045  5 Ga 2.91-3.07
7 Er 0.6195 0.9045 0.6718  5 Ga 2.91-3.07
8 Er 0.3805 0.3282 0.9045  5 Ga 2.91-3.07
9 Ga 0.8757 0.7200 0.1385  1 Ga 2.58
10 Ga 0.6243 0.7800 0.3615  1 Ga 2.58
11 Ga 0.8757 0.2800 0.8615  1 Ga 2.58
12 Ga 0.3757 0.6385 0.7800  1 Ga 2.58
13 Ga 0.6243 0.2200 0.6385  1 Ga 2.58
14 Ga 0.1243 0.1385 0.2800  1 Ga 2.58
15 Ga 0.3757 0.3615 0.2200  1 Ga 2.58
16 Ga 0.1243 0.8615 0.7200  1 Ga 2.58
17 Nd 0.0000 0.0000 0.0000  4 Ga 2.96
18 Nd 0.5000 0.5000 0.5000  4 Ga 2.96

Summary:
SG = P4_2/n (86)
Density of states at the Fermi level = 13.67 states/eV per cell
Crystal system = tetragonal
Energy of formation = -0.35 eV per atom


[4]
# Nd3ErGa4

A relaxed structure of Nd3ErGa4 (GGA-PBE, the Alexandria database).

Cell lengths 3.6512, 3.6512, 14.6864 Å; angles 90.00, 90.00, 90.00 degrees
Closest atoms and distances in Å follow each position.
Fractional positions:
1 Ga 0.0000 0.0000 0.1122  4 Er 3.06, 4 Nd 3.22, 1 Ga 3.29
2 Ga 0.0000 0.0000 0.8878  4 Er 3.06, 4 Nd 3.22, 1 Ga 3.29
3 Ga 0.0000 0.0000 0.6284  8 Nd 3.19-3.20
4 Ga 0.0000 0.0000 0.3716  8 Nd 3.19-3.20
5 Nd 0.5000 0.5000 0.2436  8 Ga 3.19-3.22, 1 Er 3.58
6 Nd 0.5000 0.5000 0.5000  8 Ga 3.20
7 Nd 0.5000 0.5000 0.7564  8 Ga 3.19-3.22, 1 Er 3.58
8 Er 0.5000 0.5000 0.0000  8 Ga 3.06

Summary:
SG = P4/mmm (123)
Density of states at the Fermi level = 3.43 states/eV per cell
Crystal system = tetragonal
Energy of formation = -0.57 eV per atom
Energy above the most stable polymorph in this dataset = 0.000 eV/atom


[5]
# Nd2ErGa2

A relaxed structure of Nd2ErGa2 (GGA-PBE, the Alexandria database).

Cell lengths 4.6610, 5.9515, 5.9515 Å; angles 66.84, 66.95, 66.95 degrees
Closest atoms and distances in Å follow each position.
Fractional positions:
1 Ga 0.5000 0.7036 0.2964  1 Ga 2.67
2 Ga 0.5000 0.2964 0.7036  1 Ga 2.67
3 Er 0.0000 0.0000 0.0000  4 Ga 3.03
4 Nd 0.2001 0.2999 0.2999  6 Ga 3.21-3.27, 1 Nd 3.51, 2 Er 3.51
5 Nd 0.7999 0.7001 0.7001  6 Ga 3.21-3.27, 1 Nd 3.51, 2 Er 3.51

Summary:
SG = Immm (71)
Density of states at the Fermi level = 5.60 states/eV per cell
Crystal system = orthorhombic
Energy of formation = -0.48 eV per atom
Energy above the most stable polymorph in this dataset = 0.000 eV/atom


[6]
# NdEr4Ga15

A relaxed structure of NdEr4Ga15 (GGA-PBE, the Alexandria database).

Cell lengths 4.2824, 4.2824, 21.3304 Å; angles 90.00, 90.00, 90.00 degrees
Closest atoms and distances in Å follow each position.
Fractional positions:
1 Ga 0.5000 0.5000 0.0000  4 Nd 3.03, 8 Ga 3.09
2 Ga 0.0000 0.5000 0.3020  4 Er 3.00-3.01, 8 Ga 3.01-3.03
3 Ga 0.5000 0.5000 0.4014  8 Ga 3.00-3.01, 4 Er 3.03
4 Ga 0.0000 0.5000 0.1045  8 Ga 2.98-3.09, 2 Er 3.01, 2 Nd 3.09
5 Ga 0.5000 0.5000 0.2016  8 Ga 2.98-3.03, 4 Er 3.03
6 Ga 0.5000 0.0000 0.3020  4 Er 3.00-3.01, 8 Ga 3.01-3.03
7 Ga 0.5000 0.5000 0.5986  8 Ga 3.00-3.01, 4 Er 3.03
8 Ga 0.0000 0.5000 0.5000  8 Ga 3.00-3.03, 4 Er 3.01
9 Ga 0.5000 0.0000 0.1045  8 Ga 2.98-3.09, 2 Er 3.01, 2 Nd 3.09
10 Ga 0.5000 0.0000 0.5000  8 Ga 3.00-3.03, 4 Er 3.01
11 Ga 0.0000 0.5000 0.8955  8 Ga 2.98-3.09, 2 Er 3.01, 2 Nd 3.09
12 Ga 0.0000 0.5000 0.6980  4 Er 3.00-3.01, 8 Ga 3.01-3.03
13 Ga 0.5000 0.5000 0.7984  8 Ga 2.98-3.03, 4 Er 3.03
14 Ga 0.5000 0.0000 0.8955  8 Ga 2.98-3.09, 2 Er 3.01, 2 Nd 3.09
15 Ga 0.5000 0.0000 0.6980  4 Er 3.00-3.01, 8 Ga 3.01-3.03
16 Er 0.0000 0.0000 0.2035  12 Ga 3.00-3.03
17 Er 0.0000 0.0000 0.7965  12 Ga 3.00-3.03
18 Er 0.0000 0.0000 0.4010  12 Ga 3.01-3.03
19 Er 0.0000 0.0000 0.5990  12 Ga 3.01-3.03
20 Nd 0.0000 0.0000 0.0000  12 Ga 3.03-3.09

Summary:
SG = P4/mmm (123)
Density of states at the Fermi level = 8.03 states/eV per cell
Crystal system = tetragonal
Energy of formation = -0.52 eV per atom


[7]
# NdErGaNi

A relaxed structure of NdErGaNi (GGA-PBE, the Alexandria database).

Cell lengths 5.0039, 5.0039, 5.0039 Å; angles 60.00, 60.00, 60.00 degrees
Closest atoms and distances in Å follow each position.
Fractional positions:
1 Er 0.0000 0.0000 0.0000  4 Ni 3.06, 4 Ga 3.06
2 Nd 0.5000 0.5000 0.5000  4 Ni 3.06, 4 Ga 3.06
3 Ga 0.7500 0.7500 0.7500  4 Er 3.06, 4 Nd 3.06
4 Ni 0.2500 0.2500 0.2500  4 Nd 3.06, 4 Er 3.06

Summary:
SG = F-43m (216)
Density of states at the Fermi level = 4.05 states/eV per cell
Crystal system = cubic
Energy of formation = -0.39 eV per atom


[8]
# NdErGa2Pd5

A relaxed structure of NdErGa2Pd5 (GGA-PBE, the Alexandria database).

Cell lengths 4.2403, 4.2403, 9.2849 Å; angles 90.00, 90.00, 90.00 degrees
Closest atoms and distances in Å follow each position.
Fractional positions:
1 Pd 0.0000 0.5000 0.7289  2 Ga 2.48
2 Pd 0.0000 0.5000 0.2711  2 Ga 2.48
3 Pd 0.5000 0.0000 0.7289  2 Ga 2.48
4 Pd 0.5000 0.0000 0.2711  2 Ga 2.48
5 Pd 0.5000 0.5000 0.5000  4 Nd 3.00, 8 Pd 3.00
6 Ga 0.5000 0.5000 0.1322  1 Ga 2.45, 4 Pd 2.48
7 Ga 0.5000 0.5000 0.8678  1 Ga 2.45, 4 Pd 2.48
8 Nd 0.0000 0.0000 0.5000  12 Pd 3.00
9 Er 0.0000 0.0000 0.0000  8 Ga 3.24, 8 Pd 3.29

Summary:
SG = P4/mmm (123)
Density of states at the Fermi level = 5.41 states/eV per cell
Crystal system = tetragonal
Energy of formation = -0.77 eV per atom